VASP calculation (PBE+U) on a geometry-optimized MnRuNO structure.

Structure (POSCAR):
```
MnRuNO
1.0
-0.213 0.182 -5.203
-2.799 -0.796 0.087
-2.463 8.980 2.913
N O Ru Mn
2 2 2 2
direct
0.085 0.500 0.779
0.085 0.000 0.279
0.606 0.000 0.554
0.606 0.500 0.054
0.882 0.000 0.113
0.882 0.500 0.613
0.209 0.000 0.494
0.209 0.500 0.994
```

For the excess energy over the best structure of this formula in the dataset, the calculation gives 462 meV per atom. The total magnetization comes out at 1.00 μB per atom. The total energy comes out at -7.46 eV/atom. As for the density of states at the Fermi level: 2.6 states/eV per cell. The symmetry is Cm, No. 8.